Entry 1:
Compound: Ca2InPb
Source: Alexandria
Functional: PBEsol
Structure: relaxed

The structure belongs to space group P4/mmm (No. 123); the cell edges are 3.836, 3.836 and 7.620 Å and the angles 90.00°, 90.00° and 90.00°. The distinct sites, in fractional coordinates, are Ca at (0.000, 0.000, 0.247), In at (0.500, 0.500, 0.000) and Pb at (0.500, 0.500, 0.500).

The total energy is -3.34 eV per atom. The energy relative to the elements comes out at -205 kJ/mol of formula units. The value obtained for the total magnetization is 0.000 μB/atom. The calculated density is 5.955 g/cm³.

=====

Entry 2:
Compound: Ca2InPb
Source: Alexandria
Functional: PBEsol
Structure: relaxed

The structure belongs to space group Cmmm (No. 65); the cell edges are 7.626, 7.650 and 3.844 Å and the angles 90.00°, 90.00° and 90.00°. The distinct sites, in fractional coordinates, are Ca at (0.250, 0.250, 0.000), In at (0.000, 0.000, 0.500) and Pb at (0.000, 0.500, 0.500).

The total energy is -3.35 eV per atom. The energy relative to the elements comes out at -206 kJ/mol of formula units. The value obtained for the total magnetization is 0.000 μB/atom. The calculated density is 5.956 g/cm³.

=====

Entry 3:
Compound: Ca2InPb
Source: Alexandria
Functional: PBEsol
Structure: relaxed

The structure belongs to space group Fm-3m (No. 225); the cell edges are 7.655, 7.655 and 7.655 Å and the angles 90.00°, 90.00° and 90.00°. The distinct sites, in fractional coordinates, are Ca at (0.250, 0.250, 0.250), In at (0.000, 0.000, 0.000) and Pb at (0.000, 0.000, 0.500).

The total energy is -3.34 eV per atom. The energy relative to the elements comes out at -205 kJ/mol of formula units. The value obtained for the total magnetization is 0.000 μB/atom. The calculated density is 5.954 g/cm³.

=====

Entry 4:
Compound: CaInSiPb2
Source: Alexandria
Functional: PBEsol
Structure: relaxed

The structure belongs to space group P4/mmm (No. 123); the cell edges are 5.509, 5.509 and 5.755 Å and the angles 90.00°, 90.00° and 90.00°. The distinct sites, in fractional coordinates, are Ca at (0.000, 0.000, 0.000), In at (0.000, 0.000, 0.500), Si at (0.500, 0.500, 0.000) and Pb at (0.000, 0.500, 0.500).

The total energy is -3.04 eV per atom. The uncorrected formation energy comes out at 3.66 eV/f.u. The value obtained for the total magnetization is 0.125 μB/atom. The calculated density is 5.679 g/cm³.

=====

Entry 5:
Compound: Ca3InPd
Source: Alexandria
Functional: PBEsol
Structure: relaxed

The structure belongs to space group Pm-3m (No. 221); the cell edges are 5.721, 5.721 and 5.721 Å and the angles 90.00°, 90.00° and 90.00°. The distinct sites, in fractional coordinates, are Ca at (0.000, 0.000, 0.500), In at (0.000, 0.000, 0.000) and Pd at (0.500, 0.500, 0.500).

The total energy is -2.74 eV per atom. The energy relative to the elements comes out at 158 kJ/mol of formula units. The value obtained for the total magnetization is 0.000 μB/atom. The calculated density is 3.028 g/cm³.

=====

Entry 6:
Compound: CaInPd
Source: Alexandria
Functional: PBEsol
Structure: relaxed

The structure belongs to space group Pnma (No. 62); the cell edges are 7.166, 4.391 and 8.345 Å and the angles 90.00°, 90.00° and 90.00°. The distinct sites, in fractional coordinates, are Ca at (0.033, 0.250, 0.178), In at (0.147, 0.250, 0.562) and Pd at (0.233, 0.750, 0.374).

The total energy is -4.40 eV per atom. The energy relative to the elements comes out at -206 kJ/mol of formula units. The value obtained for the total magnetization is 0.000 μB/atom. The calculated density is 6.610 g/cm³.

=====

The highest total magnetization belongs to which entry?
CaInSiPb2